No. 1
This record from Alexandria via LeMat-Bulk describes Sr2GeTeIr after structural relaxation. The functional is PBE-GGA.

## Properties
**Total energy**: -4.74 eV/atom
**V**: 32.1 Å³/atom
**Total magnetic moment**: 0.00 μB/cell
**Formation energy without anion corrections**: -741 meV/atom

Lattice parameters (Å, degrees): 5.8654 5.8654 4.6641 90.00 90.00 90.00
Closest atoms and distances in Å follow each position.
Fractional positions:
1 Ge 0.0000 0.0000 0.5000  2 Ir 2.33
2 Sr 0.0000 0.5000 0.0000  2 Ir 2.93
3 Sr 0.5000 0.0000 0.0000  2 Ir 2.93
4 Ir 0.0000 0.0000 0.0000  2 Ge 2.33
5 Te 0.5000 0.5000 0.5000  8 Sr 3.75, 4 Ge 4.15

No. 2
This record from Alexandria via LeMat-Bulk describes Pr2Ga2Ni3 after structural relaxation. The functional is PBE-GGA.

## Properties
**Total energy**: -5.17 eV/atom
**Energy above the lowest structure with this stoichiometry**: 0.000 eV per atom
**V**: 18.6 Å³/atom
**Total magnetic moment**: 0.00 μB/cell
**Formation energy from the elements**: -0.464 eV/atom

Lattice parameters (Å, degrees): 4.1136 6.9739 9.3251 90.00 102.74 90.00
Closest atoms and distances in Å follow each position.
Fractional positions:
1 Ga 0.6905 0.9401 0.3810  4 Ni 2.53-2.64, 1 Ga 2.65
2 Ga 0.3095 0.4401 0.6190  4 Ni 2.53-2.64, 1 Ga 2.65
3 Ga 0.3095 0.0599 0.6190  4 Ni 2.53-2.64, 1 Ga 2.65
4 Ga 0.6905 0.5599 0.3810  4 Ni 2.53-2.64, 1 Ga 2.65
5 Pr 0.0587 0.7500 0.1174  9 Ni 3.04-3.21
6 Pr 0.9413 0.2500 0.8826  9 Ni 3.04-3.21
7 Pr 0.8500 0.7500 0.7000  6 Ni 2.93-3.05, 6 Ga 3.07-3.19
8 Pr 0.1500 0.2500 0.3000  6 Ni 2.93-3.05, 6 Ga 3.07-3.19
9 Ni 0.7740 0.2500 0.5479  6 Ga 2.53-2.64
10 Ni 0.2260 0.7500 0.4521  6 Ga 2.53-2.64
11 Ni 0.5581 0.0721 0.1163  2 Ni 2.34-2.48, 1 Ga 2.58
12 Ni 0.4419 0.9279 0.8837  2 Ni 2.34-2.48, 1 Ga 2.58
13 Ni 0.5581 0.4279 0.1163  2 Ni 2.34-2.48, 1 Ga 2.58
14 Ni 0.4419 0.5721 0.8837  2 Ni 2.34-2.48, 1 Ga 2.58

No. 3
This record from Alexandria via LeMat-Bulk describes PrSmY3Th after structural relaxation. The functional is PBE-GGA.

## Properties
**Total energy**: -6.03 eV/atom
**V**: 33.2 Å³/atom
**Total magnetic moment**: 0.00 μB/cell
**Formation energy from the elements**: 0.023 eV/atom

Lattice parameters (Å, degrees): 3.6092 10.8312 10.7819 109.11 90.00 90.00
Closest atoms and distances in Å follow each position.
Fractional positions:
1 Th 0.2500 0.6231 0.1218  6 Y 3.51-3.60, 4 Th 3.56-3.61, 2 Sm 3.59
2 Th 0.7500 0.3769 0.8782  6 Y 3.51-3.60, 4 Th 3.56-3.61, 2 Sm 3.59
3 Sm 0.7500 0.8689 0.3711  3 Y 3.56-3.57, 2 Th 3.59, 4 Sm 3.61-3.73, 3 Pr 3.62-3.65
4 Sm 0.2500 0.1311 0.6289  3 Y 3.56-3.57, 2 Th 3.59, 4 Sm 3.61-3.73, 3 Pr 3.62-3.65
5 Y 0.7500 0.3810 0.2053  3 Th 3.51-3.53, 7 Y 3.58-3.67, 2 Pr 3.66
6 Y 0.7500 0.8694 0.0413  2 Th 3.56, 1 Sm 3.56, 6 Y 3.60-3.70, 3 Pr 3.60-3.65
7 Y 0.2500 0.6240 0.4561  2 Sm 3.57, 7 Y 3.58-3.67, 1 Th 3.60, 2 Pr 3.63
8 Y 0.7500 0.3760 0.5439  2 Sm 3.57, 7 Y 3.58-3.67, 1 Th 3.60, 2 Pr 3.63
9 Y 0.2500 0.6190 0.7947  3 Th 3.51-3.53, 7 Y 3.58-3.67, 2 Pr 3.66
10 Y 0.2500 0.1306 0.9587  2 Th 3.56, 1 Sm 3.56, 6 Y 3.60-3.70, 3 Pr 3.60-3.65
11 Pr 0.2500 0.1263 0.2915  7 Y 3.60-3.66, 2 Pr 3.61, 3 Sm 3.62-3.65
12 Pr 0.7500 0.8737 0.7085  7 Y 3.60-3.66, 2 Pr 3.61, 3 Sm 3.62-3.65

> What is the total magnetic moment in the first record?

0.00 μB/cell